[1]
Compound: Li5PtAu
Source: Alexandria via LeMat-Bulk
Functional: PBE
Structure: relaxed

- Density of states at the Fermi level: 2.29 states/eV per cell
- DFT total energy: -0.1130 Ha/atom
- Density: 6.5 Mg/m³
- Space group: C2/c, No. 15

Cell lengths 4.6213, 4.6213, 10.3567 Å; angles 90.34, 90.34, 82.11 degrees
Atoms (fractional coordinates):
Li1 0.0484 0.9516 0.7500
Li2 0.1385 0.4554 0.6097
Li3 0.1465 0.4563 0.8939
Li4 0.4554 0.1385 0.1097
Li5 0.4563 0.1465 0.3939
Li6 0.5437 0.8535 0.6061
Li7 0.5446 0.8615 0.8903
Li8 0.8535 0.5437 0.1061
Li9 0.8615 0.5446 0.3903
Li10 0.9516 0.0484 0.2500
Pt1 0.0000 0.0000 0.0000
Pt2 0.0000 0.0000 0.5000
Au1 0.3720 0.6280 0.2500
Au2 0.6280 0.3720 0.7500

***

[2]
Compound: Li4PtAu
Source: Alexandria via LeMat-Bulk
Functional: PBE
Structure: relaxed

- Density of states at the Fermi level: 2.36 states/eV per cell
- E above lowest polymorph: 0.201 eV per atom
- Density: 6.3 Mg/m³
- Space group: C2/m, No. 12

Cell lengths 4.2654, 4.2654, 7.4483 Å; angles 107.11, 107.11, 60.21 degrees
Atoms (fractional coordinates):
Li1 0.1178 0.1178 0.3582
Li2 0.3699 0.3699 0.1073
Li3 0.6301 0.6301 0.8927
Li4 0.8822 0.8822 0.6418
Pt1 0.0000 0.0000 0.0000
Au1 0.5000 0.5000 0.5000

***

[3]
Compound: LiPt2Au
Source: Alexandria via LeMat-Bulk
Functional: PBE
Structure: relaxed

- Density of states at the Fermi level: 2.90 states/eV per cell
- DFT total energy: -0.1731 Ha/atom
- Density: 15.9 Mg/m³
- Space group: P2/m, No. 10

Cell lengths 4.7308, 2.8264, 4.8479 Å; angles 90.00, 107.28, 90.00 degrees
Atoms (fractional coordinates):
Li1 0.0000 0.0000 0.0000
Pt1 0.0000 0.5000 0.5000
Pt2 0.5000 0.0000 0.5000
Au1 0.5000 0.5000 0.0000

***

[4]
Compound: Li6Pt3Au2
Source: Alexandria via LeMat-Bulk
Functional: PBE
Structure: relaxed

- Density of states at the Fermi level: 2.38 states/eV per cell
- DFT total energy: -0.1363 Ha/atom
- Density: 9.2 Mg/m³
- Space group: Cmmm, No. 65

Cell lengths 8.2541, 8.2541, 2.7565 Å; angles 90.00, 90.00, 100.74 degrees
Atoms (fractional coordinates):
Li1 0.1443 0.8557 0.0000
Li2 0.1718 0.4277 0.0000
Li3 0.4277 0.1718 0.0000
Li4 0.5723 0.8282 0.0000
Li5 0.8282 0.5723 0.0000
Li6 0.8557 0.1443 0.0000
Pt1 0.3160 0.6840 0.5000
Pt2 0.5000 0.5000 0.0000
Pt3 0.6840 0.3160 0.5000
Au1 0.1412 0.1412 0.5000
Au2 0.8588 0.8588 0.5000